Model i:
DFT (GGA-PBE) results for SnCSe2N after structural relaxation.

Cell: 6.1986 6.1986 2.5512 Å, 90.00 90.00 90.00°
Last column: nearest neighbours and their distance in Å.
Fractional coordinates of all 5 atoms:
Se: 0.0000 0.5000 0.0000  2 Se 2.55
Se: 0.5000 0.0000 0.0000  2 Se 2.55
C: 0.0000 0.0000 0.0000  2 N 1.28
Sn: 0.5000 0.5000 0.5000  2 Sn 2.55
N: 0.0000 0.0000 0.5000  2 C 1.28

Summary:
* D(E_F): 0.30 states/eV/f.u.
* symmetry: No. 123

=====

Model ii:
DFT (GGA-PBE) results for SnCSe2N after structural relaxation.

Cell: 5.3448 5.3448 4.0230 Å, 90.00 90.00 90.00°
Last column: nearest neighbours and their distance in Å.
Fractional coordinates of all 5 atoms:
C: 0.5000 0.5000 0.5000  8 Se 3.34
Sn: 0.0000 0.0000 0.0000  2 N 2.01
Se: 0.5000 0.0000 0.0000  2 Sn 2.67
Se: 0.0000 0.5000 0.0000  2 Sn 2.67
N: 0.0000 0.0000 0.5000  2 Sn 2.01

Summary:
* D(E_F): 4.70 states/eV/f.u.
* symmetry: No. 123

=====

Stability ranking, top and bottom: model i is the most stable and model ii is the least stable.